La4HoCd: relaxed, PBE.

As for the crystal system: triclinic. As for the energy of formation: 0.003 eV per formula unit. The value obtained for the distance to the lowest polymorph of the same formula is 97 meV/atom. Its mass density is 7.1 Mg/m³. The value obtained for the uncorrected energy is -0.309 Ry per atom.

The space group is P-1 (No. 2) and the conventional cell measures 5.660, 6.855 and 10.545 Å, with angles of 108.91, 90.01 and 90.01 degrees. The asymmetric unit holds La at (0.249, 0.025, 0.083), La at (0.250, 0.184, 0.418), La at (0.250, 0.733, 0.418), La at (0.251, 0.558, 0.083), Ho at (0.250, 0.624, 0.747) and Cd at (0.250, 0.124, 0.749).

=====

La4HoCd2: relaxed, PBE.

As for the crystal system: trigonal. As for the energy of formation: 0.492 eV per formula unit. Its mass density is 6.3 Mg/m³. The value obtained for the uncorrected energy is -0.269 Ry per atom.

The space group is R-3m (No. 166, hexagonal axes) and the conventional cell measures 5.6942, 5.6942 and 26.8056 Å, with angles of 90.00, 90.00 and 120.00 degrees. The asymmetric unit holds La at (0.0000, 0.0000, 0.1293), La at (0.0000, 0.0000, 0.2661), Ho at (0.0000, 0.0000, 0.5000) and Cd at (0.0000, 0.0000, 0.3870).

=====

La12HoCd3: relaxed, PBE.

As for the crystal system: tetragonal. As for the energy of formation: -1.511 eV per formula unit. Its mass density is 6.8 Mg/m³. The value obtained for the uncorrected energy is -0.312 Ry per atom.

The space group is P4/mmm (No. 123) and the conventional cell measures 5.098, 5.098 and 20.501 Å, with angles of 90.00, 90.00 and 90.00 degrees. The asymmetric unit holds La at (0.000, 0.000, 0.000), La at (0.000, 0.000, 0.248), La at (0.000, 0.000, 0.500), La at (0.000, 0.500, 0.123), La at (0.000, 0.500, 0.371), Ho at (0.500, 0.500, 0.500), Cd at (0.500, 0.500, 0.000) and Cd at (0.500, 0.500, 0.245).

=====

La2HoCd: relaxed, PBE.

As for the crystal system: trigonal. As for the energy of formation: -0.180 eV per formula unit. The value obtained for the distance to the lowest polymorph of the same formula is 108 meV/atom. Its mass density is 7.0 Mg/m³. The value obtained for the uncorrected energy is -0.285 Ry per atom.

The space group is R3m (No. 160, hexagonal axes) and the conventional cell measures 3.6853, 3.6853 and 33.5746 Å, with angles of 90.00, 90.00 and 120.00 degrees. The asymmetric unit holds La at (0.0000, 0.0000, 0.0000), La at (0.0000, 0.0000, 0.1732), Ho at (0.0000, 0.0000, 0.4197) and Cd at (0.0000, 0.0000, 0.5868).

=====

LaHoCd5: relaxed, PBE.

As for the crystal system: orthorhombic. As for the energy of formation: -0.827 eV per formula unit. Its mass density is 7.4 Mg/m³. The value obtained for the uncorrected energy is -0.157 Ry per atom.

The space group is Cmmm (No. 65) and the conventional cell measures 6.611, 6.643 and 8.831 Å, with angles of 90.00, 90.00 and 90.00 degrees. The asymmetric unit holds La at (0.000, 0.000, 0.000), Ho at (0.000, 0.500, 0.500), Cd at (0.000, 0.000, 0.500) and Cd at (0.250, 0.250, 0.261).

=====

LiLaHo2Cd4: relaxed, PBE.

As for the crystal system: trigonal. As for the energy of formation: -2.052 eV per formula unit. Its mass density is 7.4 Mg/m³. The value obtained for the uncorrected energy is -0.199 Ry per atom.

The space group is R-3m (No. 166, hexagonal axes) and the conventional cell measures 5.2151, 5.2151 and 26.3910 Å, with angles of 90.00, 90.00 and 120.00 degrees. The asymmetric unit holds Li at (0.0000, 0.0000, 0.0000), La at (0.0000, 0.0000, 0.5000), Ho at (0.0000, 0.0000, 0.2541), Cd at (0.0000, 0.0000, 0.1133) and Cd at (0.0000, 0.0000, 0.3721).

=====

Li2LaHoCd4: relaxed, PBE.

As for the crystal system: trigonal. As for the energy of formation: -2.083 eV per formula unit. Its mass density is 6.6 Mg/m³. The value obtained for the uncorrected energy is -0.175 Ry per atom.

The space group is R-3m (No. 166, hexagonal axes) and the conventional cell measures 5.1410, 5.1410 and 25.2981 Å, with angles of 90.00, 90.00 and 120.00 degrees. The asymmetric unit holds Li at (0.0000, 0.0000, 0.2479), La at (0.0000, 0.0000, 0.0000), Ho at (0.0000, 0.0000, 0.5000), Cd at (0.0000, 0.0000, 0.1288) and Cd at (0.0000, 0.0000, 0.3794).

=====

Li2La2HoCd5: relaxed, PBE.

As for the crystal system: tetragonal. As for the energy of formation: -2.966 eV per formula unit. Its mass density is 6.9 Mg/m³. The value obtained for the uncorrected energy is -0.190 Ry per atom.

The space group is P4/mbm (No. 127) and the conventional cell measures 10.964, 10.964 and 4.091 Å, with angles of 90.00, 90.00 and 90.00 degrees. The asymmetric unit holds Li at (0.115, 0.385, 0.000), La at (0.181, 0.681, 0.000), Ho at (0.000, 0.000, 0.000), Cd at (0.000, 0.500, 0.500) and Cd at (0.058, 0.213, 0.500).

=====

LaHoLuCd: relaxed, PBE.

As for the crystal system: cubic. As for the energy of formation: -0.209 eV per formula unit. Its mass density is 8.3 Mg/m³. The value obtained for the uncorrected energy is -0.278 Ry per atom.

The space group is F-43m (No. 216) and the conventional cell measures 7.790, 7.790 and 7.790 Å, with angles of 90.00, 90.00 and 90.00 degrees. The asymmetric unit holds La at (0.000, 0.000, 0.000), Ho at (0.000, 0.000, 0.500), Lu at (0.250, 0.250, 0.250) and Cd at (0.250, 0.250, 0.750).

=====

LaHoMgCd: relaxed, PBE.

As for the crystal system: tetragonal. As for the energy of formation: -0.806 eV per formula unit. The value obtained for the distance to the lowest polymorph of the same formula is 0 meV/atom. Its mass density is 6.4 Mg/m³. The value obtained for the uncorrected energy is -0.236 Ry per atom.

The space group is P4mm (No. 99) and the conventional cell measures 3.801, 3.801 and 7.881 Å, with angles of 90.00, 90.00 and 90.00 degrees. The asymmetric unit holds La at (0.000, 0.000, 0.000), Ho at (0.000, 0.000, 0.503), Mg at (0.500, 0.500, 0.270) and Cd at (0.500, 0.500, 0.725).

=====

LaHo2MgCd4: relaxed, PBE.

As for the crystal system: trigonal. As for the energy of formation: -2.133 eV per formula unit. Its mass density is 7.5 Mg/m³. The value obtained for the uncorrected energy is -0.197 Ry per atom.

The space group is R-3m (No. 166, hexagonal axes) and the conventional cell measures 5.1973, 5.1973 and 26.8321 Å, with angles of 90.00, 90.00 and 120.00 degrees. The asymmetric unit holds La at (0.0000, 0.0000, 0.0000), Ho at (0.0000, 0.0000, 0.2436), Mg at (0.0000, 0.0000, 0.5000), Cd at (0.0000, 0.0000, 0.1270) and Cd at (0.0000, 0.0000, 0.3825).

=====

LaHoMg2Cd4: relaxed, PBE.

As for the crystal system: trigonal. As for the energy of formation: -2.543 eV per formula unit. Its mass density is 6.8 Mg/m³. The value obtained for the uncorrected energy is -0.174 Ry per atom.

The space group is R-3m (No. 166, hexagonal axes) and the conventional cell measures 5.1613, 5.1613 and 25.4908 Å, with angles of 90.00, 90.00 and 120.00 degrees. The asymmetric unit holds La at (0.0000, 0.0000, 0.0000), Ho at (0.0000, 0.0000, 0.5000), Mg at (0.0000, 0.0000, 0.2491), Cd at (0.0000, 0.0000, 0.1284) and Cd at (0.0000, 0.0000, 0.3793).